# SmMg2AlAu4 (PBE, optimized geometry)
data_SmMg2AlAu4
_space_group_name_H-M_alt 'P 1'
_space_group_IT_number 1
_space_group_name_Hall 'P 1'
_cell_length_a 4.588
_cell_length_b 4.588
_cell_length_c 9.068
_cell_angle_alpha 75.35
_cell_angle_beta 75.35
_cell_angle_gamma 60.00
loop_
_atom_site_label
_atom_site_fract_x
_atom_site_fract_y
_atom_site_fract_z
Au1 0.605 0.605 0.186
Mg1 0.242 0.242 0.274
Au2 0.395 0.395 0.814
Sm1 0.000 0.000 0.000
Au3 0.869 0.869 0.394
Al1 0.500 0.500 0.500
Mg2 0.758 0.758 0.726
Au4 0.131 0.131 0.606
# **Calculated volume**: 19.762 A^3/atom
# **Total DFT energy (no corrections)**: -3.711 eV/atom
# **D(E_F)**: 3.2 states/eV/f.u.
# **Symmetry**: R-3m, No. 166